The following is a PBE-GGA calculation of an optimized crystal structure of Tb3Tm7Sc2, from Alexandria.

M_tot ... 0.001 μB per cell
Space-group type ... P2/m
Total DFT energy (no corrections) ... -54.96 eV for the cell shown
Excess energy over the best structure of this formula in the dataset ... 1.468 eV per formula unit
E_form ... 241 meV per atom

Lattice parameters (Å, degrees): 3.5415 5.4007 19.9624 90.00 95.17 90.00
With the nearest neighbours (Å) after each atom.
Fractional positions:
Tb 0.0000 0.0000 0.0000  8 Tm 3.23-3.24, 2 Tb 3.54
Tb 0.3286 0.5000 0.6623  4 Sc 3.46-3.47, 2 Tb 3.54, 6 Tm 3.66-3.71
Tb 0.6714 0.5000 0.3377  4 Sc 3.46-3.47, 2 Tb 3.54, 6 Tm 3.66-3.71
Tm 0.0899 0.5000 0.1764  6 Tm 3.32-3.54, 2 Sc 3.33, 2 Tb 3.66
Tm 0.2134 0.0000 0.4286  1 Sc 3.07, 2 Tm 3.34-3.35
Tm 0.4299 0.0000 0.8633  2 Tb 3.24, 2 Sc 3.26, 6 Tm 3.32-3.54
Tm 0.5000 0.5000 0.0000  4 Tb 3.23, 2 Tm 3.54
Tm 0.5701 0.0000 0.1367  2 Tb 3.24, 2 Sc 3.26, 6 Tm 3.32-3.54
Tm 0.7866 0.0000 0.5714  1 Sc 3.07, 2 Tm 3.34-3.35
Tm 0.9101 0.5000 0.8236  6 Tm 3.32-3.54, 2 Sc 3.33, 2 Tb 3.66
Sc 0.1410 0.0000 0.2742  5 Tm 3.07-3.33
Sc 0.8590 0.0000 0.7258  5 Tm 3.07-3.33